(1)
The following is a PBE calculation of a relaxed ErTlAsSe3 crystal, from OQMD.

Results
size of the total moment = 0.026 Bohr magnetons per cell
raw total energy = -4.42 eV/atom

abc: 3.9411 14.3213 11.5011
angles: 90.00 90.00 90.00
Space group Cmcm (No. 63)
Symmetry-distinct sites (fractional):
Er: 0.0000 0.0000 0.0000 x4
Tl: 0.0000 0.2857 0.2500 x4
As: 0.0000 0.3945 0.7500 x4
Se: 0.0000 0.0322 0.7500 x4
Se: 0.0000 0.3617 0.5221 x8



(2)
The following is a PBE calculation of a relaxed SmEr2As3 crystal, from OQMD.

Results
size of the total moment = 0.002 Bohr magnetons per cell
raw total energy = -6.15 eV/atom

abc: 4.1224 4.1224 10.0901
angles: 90.00 90.00 120.00
Space group P-3m1 (No. 164)
Symmetry-distinct sites (fractional):
Sm: 0.0000 0.0000 0.0000 x1
Er: 0.3333 0.6667 0.3367 x2
As: 0.0000 0.0000 0.5000 x1
As: 0.3333 0.6667 0.8261 x2



(3)
The following is a PBE calculation of a relaxed Sm2ErAs3 crystal, from OQMD.

Results
size of the total moment = 0.001 Bohr magnetons per cell
raw total energy = -6.18 eV/atom

abc: 4.1684 4.1684 10.1989
angles: 90.00 90.00 120.00
Space group P-3m1 (No. 164)
Symmetry-distinct sites (fractional):
Sm: 0.3333 0.6667 0.3299 x2
Er: 0.0000 0.0000 0.0000 x1
As: 0.0000 0.0000 0.5000 x1
As: 0.3333 0.6667 0.8406 x2



(4)
The following is a PBE calculation of a relaxed ErSnAs crystal, from OQMD.

Results
size of the total moment = 0.003 Bohr magnetons per cell
raw total energy = -4.65 eV/atom

abc: 6.9803 6.9803 6.9803
angles: 90.00 90.00 90.00
Space group F-43m (No. 216)
Symmetry-distinct sites (fractional):
Er: 0.0000 0.0000 0.0000 x4
Sn: 0.2500 0.2500 0.2500 x4
As: 0.2500 0.2500 0.7500 x4



(5)
The following is a PBE calculation of a relaxed ErSnAs crystal, from OQMD.

Results
size of the total moment = 0.028 Bohr magnetons per cell
raw total energy = -4.78 eV/atom

abc: 6.8878 6.8878 6.8878
angles: 90.00 90.00 90.00
Space group F-43m (No. 216)
Symmetry-distinct sites (fractional):
Er: 0.0000 0.0000 0.0000 x4
Sn: 0.0000 0.0000 0.5000 x4
As: 0.2500 0.2500 0.2500 x4



(6)
The following is a PBE calculation of a relaxed ErTaAs crystal, from OQMD.

Results
size of the total moment = 11.829 Bohr magnetons per cell
raw total energy = -6.12 eV/atom

abc: 6.7825 6.7825 6.7825
angles: 90.00 90.00 90.00
Space group F-43m (No. 216)
Symmetry-distinct sites (fractional):
Er: 0.0000 0.0000 0.0000 x4
Ta: 0.2500 0.2500 0.2500 x4
As: 0.2500 0.2500 0.7500 x4



(7)
The following is a PBE calculation of a relaxed ErTaAs crystal, from OQMD.

Results
size of the total moment = 0.608 Bohr magnetons per cell
raw total energy = -7.13 eV/atom

abc: 6.3969 6.3969 6.3969
angles: 90.00 90.00 90.00
Space group F-43m (No. 216)
Symmetry-distinct sites (fractional):
Er: 0.0000 0.0000 0.0000 x4
Ta: 0.0000 0.0000 0.5000 x4
As: 0.2500 0.2500 0.2500 x4



(8)
The following is a PBE calculation of a relaxed Tb2ErAs3 crystal, from OQMD.

Results
size of the total moment = 0.009 Bohr magnetons per cell
raw total energy = -6.16 eV/atom

abc: 4.1144 4.1144 10.0737
angles: 90.00 90.00 120.00
Space group P-3m1 (No. 164)
Symmetry-distinct sites (fractional):
Tb: 0.3333 0.6667 0.3319 x2
Er: 0.0000 0.0000 0.0000 x1
As: 0.0000 0.0000 0.5000 x1
As: 0.3333 0.6667 0.8364 x2



(9)
The following is a PBE calculation of a relaxed TbErAs crystal, from OQMD.

Results
size of the total moment = 0.078 Bohr magnetons per cell
raw total energy = -5.35 eV/atom

abc: 6.7897 6.7897 6.7897
angles: 90.00 90.00 90.00
Space group F-43m (No. 216)
Symmetry-distinct sites (fractional):
Tb: 0.0000 0.0000 0.0000 x4
Er: 0.0000 0.0000 0.5000 x4
As: 0.2500 0.2500 0.7500 x4



(10)
The following is a PBE calculation of a relaxed ErTcAs crystal, from OQMD.

Results
size of the total moment = 5.782 Bohr magnetons per cell
raw total energy = -6.75 eV/atom

abc: 6.2843 6.2843 6.2843
angles: 90.00 90.00 90.00
Space group F-43m (No. 216)
Symmetry-distinct sites (fractional):
Er: 0.0000 0.0000 0.0000 x4
Tc: 0.0000 0.0000 0.5000 x4
As: 0.2500 0.2500 0.2500 x4



(11)
The following is a PBE calculation of a relaxed ErTeAs crystal, from OQMD.

Results
size of the total moment = 0.003 Bohr magnetons per cell
raw total energy = -4.51 eV/atom

abc: 4.9438 4.9438 7.1538
angles: 90.00 90.00 120.00
Space group P6_3/mmc (No. 194)
Symmetry-distinct sites (fractional):
Er: 0.0000 0.0000 0.0000 x2
Te: 0.3333 0.6667 0.2500 x2
As: 0.3333 0.6667 0.7500 x2



(12)
The following is a PBE calculation of a relaxed ErTeAs crystal, from OQMD.

Results
size of the total moment = 0.007 Bohr magnetons per cell
raw total energy = -4.65 eV/atom

abc: 8.3750 8.3750 3.8273
angles: 90.00 90.00 120.00
Space group P-62m (No. 189)
Symmetry-distinct sites (fractional):
Er: 0.0000 0.2937 0.0000 x3
Te: 0.0000 0.0000 0.5000 x1
Te: 0.3333 0.6667 0.0000 x2
As: 0.0000 0.5890 0.5000 x3



(13)
The following is a PBE calculation of a relaxed ErTeAs crystal, from OQMD.

Results
size of the total moment = 0.013 Bohr magnetons per cell
raw total energy = -4.80 eV/atom

abc: 5.3863 5.3863 5.9325
angles: 90.00 90.00 120.00
Space group P6_3/mmc (No. 194)
Symmetry-distinct sites (fractional):
Er: 0.3333 0.6667 0.2500 x2
Te: 0.3333 0.6667 0.7500 x2
As: 0.0000 0.0000 0.0000 x2



(14)
The following is a PBE calculation of a relaxed ErTeAs crystal, from OQMD.

Results
size of the total moment = 0.037 Bohr magnetons per cell
raw total energy = -4.51 eV/atom

abc: 6.9291 6.9291 6.9291
angles: 90.00 90.00 90.00
Space group F-43m (No. 216)
Symmetry-distinct sites (fractional):
Er: 0.0000 0.0000 0.0000 x4
Te: 0.0000 0.0000 0.5000 x4
As: 0.2500 0.2500 0.2500 x4



(15)
The following is a PBE calculation of a relaxed ErTeAs crystal, from OQMD.

Results
size of the total moment = 0.001 Bohr magnetons per cell
raw total energy = -4.72 eV/atom

abc: 8.2139 8.2139 3.7543
angles: 90.00 90.00 120.00
Space group P-62m (No. 189)
Symmetry-distinct sites (fractional):
Er: 0.0000 0.6107 0.0000 x3
Te: 0.0000 0.2813 0.5000 x3
As: 0.0000 0.0000 0.0000 x1
As: 0.3333 0.6667 0.5000 x2



(16)
The following is a PBE calculation of a relaxed ErTeAs crystal, from OQMD.

Results
size of the total moment = 0.005 Bohr magnetons per cell
raw total energy = -4.51 eV/atom

abc: 4.9409 4.9409 7.1548
angles: 90.00 90.00 120.00
Space group P6_3mc (No. 186)
Symmetry-distinct sites (fractional):
Er: 0.0000 0.0000 0.0000 x2
Te: 0.3333 0.6667 0.2529 x2
As: 0.3333 0.6667 0.7509 x2



(17)
The following is a PBE calculation of a relaxed ErTeAs crystal, from OQMD.

Results
size of the total moment = 0.016 Bohr magnetons per cell
raw total energy = -5.27 eV/atom

abc: 7.4807 4.0469 9.8614
angles: 90.00 90.00 90.00
Space group Pnma (No. 62)
Symmetry-distinct sites (fractional):
Er: 0.2328 0.2500 0.1587 x4
Te: 0.0846 0.2500 0.8521 x4
As: 0.0991 0.2500 0.4601 x4



(18)
The following is a PBE calculation of a relaxed Er3TeAs2 crystal, from OQMD.

Results
size of the total moment = 0.008 Bohr magnetons per cell
raw total energy = -5.85 eV/atom

abc: 4.1378 4.1378 10.2967
angles: 90.00 90.00 120.00
Space group P-3m1 (No. 164)
Symmetry-distinct sites (fractional):
Er: 0.0000 0.0000 0.0000 x1
Er: 0.3333 0.6667 0.6960 x2
Te: 0.0000 0.0000 0.5000 x1
As: 0.3333 0.6667 0.1594 x2



(19)
The following is a PBE calculation of a relaxed ErTeAs crystal, from OQMD.

Results
size of the total moment = 0.003 Bohr magnetons per cell
raw total energy = -4.64 eV/atom

abc: 8.3138 8.3138 3.7114
angles: 90.00 90.00 120.00
Space group P-62m (No. 189)
Symmetry-distinct sites (fractional):
Er: 0.0000 0.6266 0.0000 x3
Te: 0.0000 0.0000 0.0000 x1
Te: 0.3333 0.6667 0.5000 x2
As: 0.0000 0.2838 0.5000 x3



(20)
The following is a PBE calculation of a relaxed ErTeAs crystal, from OQMD.

Results
size of the total moment = 0.004 Bohr magnetons per cell
raw total energy = -4.96 eV/atom

abc: 7.7893 3.8767 10.8271
angles: 90.00 90.00 90.00
Space group Pnma (No. 62)
Symmetry-distinct sites (fractional):
Er: 0.0577 0.2500 0.2344 x4
Te: 0.2077 0.2500 0.9174 x4
As: 0.1853 0.2500 0.6623 x4